# 1
Compound: CoPd8Pt6
Source: Alexandria via LeMat-Bulk
Functional: GGA-PBE
Structure: relaxed

## Properties
Crystal system ... trigonal
Energy above the lowest structure with this stoichiometry ... 1.3 kJ/mol of atoms
Calculated volume ... 252.7 Å³/f.u.
Uncorrected energy ... -5.444 eV/atom
Formation energy ... 0.215 eV/atom
DOS at the Fermi energy ... 2.05 states/eV per atom

```
data_CoPd8Pt6
_chemical_formula_sum 'Co1 Pd8 Pt6'
_space_group_name_H-M_alt 'P -3'
_space_group_IT_number 147
_space_group_name_Hall '-P 3'
_cell_length_a 7.3791
_cell_length_b 7.3791
_cell_length_c 5.3581
_cell_angle_alpha 90.00
_cell_angle_beta 90.00
_cell_angle_gamma 120.00
loop_
_atom_site_label
_atom_site_type_symbol
_atom_site_fract_x
_atom_site_fract_y
_atom_site_fract_z
_atom_site_occupancy
Co1 Co 0.0000 0.0000 0.0000 1
Pd1 Pd 0.0334 0.3524 0.3945 1
Pd2 Pd 0.3333 0.6667 0.7624 1
Pt1 Pt 0.0262 0.6780 0.1075 1
```

# 2
Compound: SrCa2RhO4
Source: Alexandria via LeMat-Bulk
Functional: GGA-PBE
Structure: relaxed

## Properties
Crystal system ... orthorhombic
Calculated volume ... 117.7 Å³/f.u.
Uncorrected energy ... -6.159 eV/atom
DOS at the Fermi energy ... 0.36 states/eV per atom

```
data_SrCa2RhO4
_chemical_formula_sum 'Sr4 Ca8 Rh4 O16'
_space_group_name_H-M_alt 'C m c m'
_space_group_IT_number 63
_space_group_name_Hall '-C 2c 2'
_cell_length_a 3.352
_cell_length_b 11.981
_cell_length_c 11.720
_cell_angle_alpha 90.00
_cell_angle_beta 90.00
_cell_angle_gamma 90.00
loop_
_atom_site_label
_atom_site_type_symbol
_atom_site_fract_x
_atom_site_fract_y
_atom_site_fract_z
_atom_site_occupancy
Sr1 Sr 0.000 0.125 0.250 1
Ca1 Ca 0.000 0.372 0.043 1
Rh1 Rh 0.000 0.140 0.750 1
O1 O 0.000 0.000 0.000 1
O2 O 0.000 0.266 0.624 1
O3 O 0.000 0.466 0.250 1
```

# 3
Compound: UTaV
Source: Alexandria via LeMat-Bulk
Functional: GGA-PBE
Structure: relaxed

## Properties
Crystal system ... trigonal
Energy above the lowest structure with this stoichiometry ... 0.0 kJ/mol of atoms
Calculated volume ... 52.5 Å³/f.u.
Uncorrected energy ... -10.517 eV/atom
Formation energy ... 0.236 eV/atom
DOS at the Fermi energy ... 1.54 states/eV per atom

```
data_UTaV
_chemical_formula_sum 'U1 Ta1 V1'
_space_group_name_H-M_alt 'P 3 m 1'
_space_group_IT_number 156
_space_group_name_Hall 'P 3 -2"'
_cell_length_a 4.6117
_cell_length_b 4.6117
_cell_length_c 2.8508
_cell_angle_alpha 90.00
_cell_angle_beta 90.00
_cell_angle_gamma 120.00
loop_
_atom_site_label
_atom_site_type_symbol
_atom_site_fract_x
_atom_site_fract_y
_atom_site_fract_z
_atom_site_occupancy
U1 U 0.0000 0.0000 0.0000 1
Ta1 Ta 0.6667 0.3333 0.6104 1
V1 V 0.3333 0.6667 0.2324 1
```

# 4
Compound: PmGdCl
Source: Alexandria via LeMat-Bulk
Functional: GGA-PBE
Structure: relaxed

## Properties
Crystal system ... trigonal
Calculated volume ... 86.7 Å³/f.u.
Uncorrected energy ... -7.814 eV/atom
DOS at the Fermi energy ... 1.17 states/eV per atom

```
data_PmGdCl
_chemical_formula_sum 'Pm1 Gd1 Cl1'
_space_group_name_H-M_alt 'P 3 m 1'
_space_group_IT_number 156
_space_group_name_Hall 'P 3 -2"'
_cell_length_a 3.7557
_cell_length_b 3.7557
_cell_length_c 7.1002
_cell_angle_alpha 90.00
_cell_angle_beta 90.00
_cell_angle_gamma 120.00
loop_
_atom_site_label
_atom_site_type_symbol
_atom_site_fract_x
_atom_site_fract_y
_atom_site_fract_z
_atom_site_occupancy
Pm1 Pm 0.0000 0.0000 0.0000 1
Gd1 Gd 0.3333 0.6667 0.6132 1
Cl1 Cl 0.6667 0.3333 0.3121 1
```

# 5
Compound: Pm2AlTc
Source: Alexandria via LeMat-Bulk
Functional: GGA-PBE
Structure: relaxed

## Properties
Crystal system ... cubic
Energy above the lowest structure with this stoichiometry ... 2.4 kJ/mol of atoms
Calculated volume ... 94.0 Å³/f.u.
Uncorrected energy ... -5.916 eV/atom
Formation energy ... -0.013 eV/atom
DOS at the Fermi energy ... 1.16 states/eV per atom

```
data_Pm2AlTc
_chemical_formula_sum 'Pm8 Al4 Tc4'
_space_group_name_H-M_alt 'F m -3 m'
_space_group_IT_number 225
_space_group_name_Hall '-F 4 2 3'
_cell_length_a 7.217
_cell_length_b 7.217
_cell_length_c 7.217
_cell_angle_alpha 90.00
_cell_angle_beta 90.00
_cell_angle_gamma 90.00
loop_
_atom_site_label
_atom_site_type_symbol
_atom_site_fract_x
_atom_site_fract_y
_atom_site_fract_z
_atom_site_occupancy
Pm1 Pm 0.250 0.250 0.250 1
Al1 Al 0.000 0.000 0.000 1
Tc1 Tc 0.000 0.000 0.500 1
```

# 6
Compound: YPu4Pd5
Source: Alexandria via LeMat-Bulk
Functional: GGA-PBE
Structure: relaxed

## Properties
Crystal system ... tetragonal
Calculated volume ... 206.5 Å³/f.u.
Uncorrected energy ... -8.868 eV/atom
Formation energy ... 0.107 eV/atom
DOS at the Fermi energy ... 2.79 states/eV per atom

```
data_YPu4Pd5
_chemical_formula_sum 'Y1 Pu4 Pd5'
_space_group_name_H-M_alt 'P 4/m m m'
_space_group_IT_number 123
_space_group_name_Hall '-P 4 2'
_cell_length_a 3.745
_cell_length_b 3.745
_cell_length_c 14.722
_cell_angle_alpha 90.00
_cell_angle_beta 90.00
_cell_angle_gamma 90.00
loop_
_atom_site_label
_atom_site_type_symbol
_atom_site_fract_x
_atom_site_fract_y
_atom_site_fract_z
_atom_site_occupancy
Y1 Y 0.000 0.000 0.000 1
Pu1 Pu 0.000 0.000 0.231 1
Pu2 Pu 0.000 0.000 0.383 1
Pd1 Pd 0.500 0.500 0.109 1
Pd2 Pd 0.500 0.500 0.305 1
Pd3 Pd 0.500 0.500 0.500 1
```

# 7
Compound: Zr2AsBr
Source: Alexandria via LeMat-Bulk
Functional: GGA-PBE
Structure: relaxed

## Properties
Crystal system ... tetragonal
Calculated volume ... 112.7 Å³/f.u.
Uncorrected energy ... -5.952 eV/atom
DOS at the Fermi energy ... 1.10 states/eV per atom

```
data_Zr2AsBr
_chemical_formula_sum 'Zr8 As4 Br4'
_space_group_name_H-M_alt 'I -4 2 d'
_space_group_IT_number 122
_space_group_name_Hall 'I -4 2bw'
_cell_length_a 6.163
_cell_length_b 6.163
_cell_length_c 11.872
_cell_angle_alpha 90.00
_cell_angle_beta 90.00
_cell_angle_gamma 90.00
loop_
_atom_site_label
_atom_site_type_symbol
_atom_site_fract_x
_atom_site_fract_y
_atom_site_fract_z
_atom_site_occupancy
Zr1 Zr 0.236 0.250 0.125 1
As1 As 0.000 0.000 0.000 1
Br1 Br 0.000 0.000 0.500 1
```

# 8
Compound: CaTcBr2
Source: Alexandria via LeMat-Bulk
Functional: GGA-PBE
Structure: relaxed

## Properties
Crystal system ... trigonal
Energy above the lowest structure with this stoichiometry ... 25.6 kJ/mol of atoms
Calculated volume ... 112.6 Å³/f.u.
Uncorrected energy ... -4.026 eV/atom
DOS at the Fermi energy ... 0.82 states/eV per atom

```
data_CaTcBr2
_chemical_formula_sum 'Ca3 Tc3 Br6'
_space_group_name_H-M_alt 'R -3 m'
_space_group_IT_number 166
_space_group_name_Hall '-R 3 2"'
_cell_length_a 3.7900
_cell_length_b 3.7900
_cell_length_c 27.1546
_cell_angle_alpha 90.00
_cell_angle_beta 90.00
_cell_angle_gamma 120.00
loop_
_atom_site_label
_atom_site_type_symbol
_atom_site_fract_x
_atom_site_fract_y
_atom_site_fract_z
_atom_site_occupancy
Ca1 Ca 0.0000 0.0000 0.0000 1
Tc1 Tc 0.0000 0.0000 0.5000 1
Br1 Br 0.0000 0.0000 0.4024 1
```

# 9
Compound: Zr2SeF
Source: Alexandria via LeMat-Bulk
Functional: GGA-PBE
Structure: relaxed

## Properties
Crystal system ... cubic
Energy above the lowest structure with this stoichiometry ... 0.0 kJ/mol of atoms
Calculated volume ... 67.6 Å³/f.u.
Uncorrected energy ... -6.845 eV/atom
DOS at the Fermi energy ... 0.51 states/eV per atom

```
data_Zr2SeF
_chemical_formula_sum 'Zr8 Se4 F4'
_space_group_name_H-M_alt 'F m -3 m'
_space_group_IT_number 225
_space_group_name_Hall '-F 4 2 3'
_cell_length_a 6.468
_cell_length_b 6.468
_cell_length_c 6.468
_cell_angle_alpha 90.00
_cell_angle_beta 90.00
_cell_angle_gamma 90.00
loop_
_atom_site_label
_atom_site_type_symbol
_atom_site_fract_x
_atom_site_fract_y
_atom_site_fract_z
_atom_site_occupancy
Zr1 Zr 0.250 0.250 0.250 1
Se1 Se 0.000 0.000 0.000 1
F1 F 0.000 0.000 0.500 1
```

# 10
Compound: Sm6AgSn2
Source: Alexandria via LeMat-Bulk
Functional: GGA-PBE
Structure: relaxed

## Properties
Crystal system ... hexagonal
Calculated volume ... 271.4 Å³/f.u.
Uncorrected energy ... -4.765 eV/atom
Formation energy ... -0.412 eV/atom
DOS at the Fermi energy ... 1.33 states/eV per atom

```
data_Sm6AgSn2
_chemical_formula_sum 'Sm6 Ag1 Sn2'
_space_group_name_H-M_alt 'P -6 2 m'
_space_group_IT_number 189
_space_group_name_Hall 'P -6 -2'
_cell_length_a 8.4888
_cell_length_b 8.4888
_cell_length_c 4.3492
_cell_angle_alpha 90.00
_cell_angle_beta 90.00
_cell_angle_gamma 120.00
loop_
_atom_site_label
_atom_site_type_symbol
_atom_site_fract_x
_atom_site_fract_y
_atom_site_fract_z
_atom_site_occupancy
Sm1 Sm 0.0000 0.4089 0.0000 1
Sm2 Sm 0.0000 0.7424 0.5000 1
Ag1 Ag 0.0000 0.0000 0.0000 1
Sn1 Sn 0.3333 0.6667 0.5000 1
```

# 11
Compound: GdCdInSn
Source: Alexandria via LeMat-Bulk
Functional: GGA-PBE
Structure: relaxed

## Properties
Crystal system ... cubic
Calculated volume ... 105.5 Å³/f.u.
Uncorrected energy ... -5.653 eV/atom
Formation energy ... -0.219 eV/atom
DOS at the Fermi energy ... 0.69 states/eV per atom

```
data_GdCdInSn
_chemical_formula_sum 'Gd4 Cd4 In4 Sn4'
_space_group_name_H-M_alt 'F -4 3 m'
_space_group_IT_number 216
_space_group_name_Hall 'F -4 2 3'
_cell_length_a 7.501
_cell_length_b 7.501
_cell_length_c 7.501
_cell_angle_alpha 90.00
_cell_angle_beta 90.00
_cell_angle_gamma 90.00
loop_
_atom_site_label
_atom_site_type_symbol
_atom_site_fract_x
_atom_site_fract_y
_atom_site_fract_z
_atom_site_occupancy
Gd1 Gd 0.000 0.000 0.000 1
Cd1 Cd 0.250 0.250 0.250 1
In1 In 0.000 0.000 0.500 1
Sn1 Sn 0.250 0.250 0.750 1
```

# 12
Compound: Nd8Ga3CuI4
Source: Alexandria via LeMat-Bulk
Functional: GGA-PBE
Structure: relaxed

## Properties
Crystal system ... monoclinic
Calculated volume ... 498.6 Å³/f.u.
Uncorrected energy ... -4.286 eV/atom
DOS at the Fermi energy ... 0.97 states/eV per atom

```
data_Nd8Ga3CuI4
_chemical_formula_sum 'Nd16 Ga6 Cu2 I8'
_space_group_name_H-M_alt 'C 1 2/m 1'
_space_group_IT_number 12
_space_group_name_Hall '-C 2y'
_cell_length_a 15.024
_cell_length_b 8.661
_cell_length_c 9.159
_cell_angle_alpha 90.00
_cell_angle_beta 123.20
_cell_angle_gamma 90.00
loop_
_atom_site_label
_atom_site_type_symbol
_atom_site_fract_x
_atom_site_fract_y
_atom_site_fract_z
_atom_site_occupancy
Nd1 Nd 0.013 0.247 0.291 1
Nd2 Nd 0.235 0.000 0.710 1
Nd3 Nd 0.238 0.500 0.714 1
Ga1 Ga 0.000 0.500 0.500 1
Ga2 Ga 0.250 0.250 0.500 1
Cu1 Cu 0.000 0.000 0.500 1
I1 I 0.000 0.000 0.000 1
I2 I 0.000 0.500 0.000 1
I3 I 0.250 0.250 0.000 1
```